Ir2RhO: optimized geometry, PBE-GGA.

Output
Symmetry   I-42d, No. 122
Calculated total energy   -6.99 eV per atom
ΔE_f (raw)   2.084 eV/f.u.
Spin magnetization   0.00 μB per atom

a = 6.4748 Å, b = 6.4748 Å, c = 5.2466 Å
α = 51.90°, β = 51.90°, γ = 90.00°
Last column: nearest neighbours and their distance in Å.
Element x y z (fractional)
O1 0.2500 0.7500 0.5000  4 Ir 2.14
O2 0.5000 0.5000 0.0000  4 Ir 2.14
Rh1 0.0000 0.0000 0.0000  2 O 2.56, 8 Ir 2.65-2.80
Rh2 0.7500 0.2500 0.5000  2 O 2.56, 8 Ir 2.65-2.80
Ir1 0.5672 0.1250 0.2500  2 O 2.14
Ir2 0.3750 0.4328 0.7500  2 O 2.14
Ir3 0.8750 0.8172 0.7500  2 O 2.14
Ir4 0.1829 0.6250 0.2500  2 O 2.14

MgNiAg2: optimized geometry, PBE-GGA.

Output
Symmetry   Pmmm, No. 47
Calculated total energy   -3.25 eV per atom
Spin magnetization   0.00 μB per atom
Energy relative to the elements   8 kJ/mol of formula units

a = 2.9404 Å, b = 3.7724 Å, c = 5.8278 Å
α = 90.00°, β = 90.00°, γ = 90.00°
Last column: nearest neighbours and their distance in Å.
Element x y z (fractional)
Ag1 0.0000 0.0000 0.9875  4 Ni 2.76, 4 Ag 2.77-3.06, 4 Mg 2.84
Ag2 0.0000 0.0000 0.5125  4 Ni 2.76, 4 Ag 2.77-3.06, 4 Mg 2.84
Ni1 0.5000 0.5000 0.7500  8 Ag 2.76, 2 Mg 2.91, 2 Ni 2.94
Mg1 0.5000 0.5000 0.2500  8 Ag 2.84, 2 Ni 2.91, 2 Mg 2.94

CrGa2Ru: optimized geometry, PBE-GGA.

Output
Symmetry   I-42d, No. 122
Calculated total energy   -5.81 eV per atom
Spin magnetization   0.00 μB per atom
Energy relative to the elements   166 kJ/mol of formula units

a = 6.7805 Å, b = 6.7805 Å, c = 5.4636 Å
α = 51.65°, β = 51.65°, γ = 90.00°
Last column: nearest neighbours and their distance in Å.
Element x y z (fractional)
Cr1 0.2500 0.7500 0.5000  4 Ga 2.48, 2 Ru 2.62
Cr2 0.5000 0.5000 0.0000  4 Ga 2.48, 2 Ru 2.62
Ga1 0.1259 0.6250 0.2500  2 Cr 2.48, 2 Ru 2.49, 2 Ga 2.62
Ga2 0.8750 0.8741 0.7500  2 Cr 2.48, 2 Ru 2.49, 2 Ga 2.62
Ga3 0.3750 0.3759 0.7500  2 Cr 2.48, 2 Ru 2.49, 2 Ga 2.62
Ga4 0.6241 0.1250 0.2500  2 Cr 2.48, 2 Ru 2.49, 2 Ga 2.62
Ru1 0.0000 0.0000 0.0000  4 Ga 2.49, 2 Cr 2.62
Ru2 0.7500 0.2500 0.5000  4 Ga 2.49, 2 Cr 2.62

In3SnPd: optimized geometry, PBE-GGA.

Output
Energy above the most stable polymorph in this dataset   18.10 kJ per mole of atoms
Symmetry   I-4m2, No. 119
Calculated total energy   -3.46 eV per atom
Spin magnetization   0.00 μB per atom
Energy relative to the elements   10 kJ/mol of formula units

a = 5.7374 Å, b = 5.7374 Å, c = 9.6783 Å
α = 107.24°, β = 107.24°, γ = 90.00°
Last column: nearest neighbours and their distance in Å.
Element x y z (fractional)
In1 0.1247 0.8744 0.2494  2 Pd 2.62-2.63, 2 In 2.87
In2 0.3115 0.3115 0.6230  2 Pd 3.07, 4 In 3.40
In3 0.1247 0.3750 0.2494  2 Pd 2.62-2.63, 2 In 2.87
In4 0.1256 0.8753 0.7506  2 Pd 2.62-2.63, 2 In 2.87
In5 0.6885 0.6885 0.3770  2 Pd 3.07, 4 In 3.40
In6 0.6250 0.8753 0.7506  2 Pd 2.62-2.63, 2 In 2.87
Pd1 0.2500 0.7500 0.5000  4 In 2.63
Pd2 0.0000 0.0000 0.0000  4 In 2.62
Sn1 0.9462 0.4462 0.8925  2 Pd 3.02
Sn2 0.5538 0.0538 0.1075  2 Pd 3.02

La6Y5Er: optimized geometry, PBE-GGA.

Output
Symmetry   P-1, No. 2
Calculated total energy   -5.52 eV per atom
Spin magnetization   0.00 μB per atom
Energy relative to the elements   24 kJ/mol of formula units

a = 6.2012 Å, b = 9.7091 Å, c = 11.2215 Å
α = 54.70°, β = 59.61°, γ = 50.27°
Last column: nearest neighbours and their distance in Å.
Element x y z (fractional)
Y1 0.0008 0.6667 0.6666  8 La 3.62-3.63, 4 Y 3.73
Y2 0.5000 0.5000 0.0000  8 La 3.61-3.63, 2 Y 3.73, 2 Er 3.73
Y3 0.5006 0.8333 0.3335  8 La 3.61-3.63, 3 Y 3.73, 1 Er 3.73
Y4 0.4994 0.1667 0.6665  8 La 3.61-3.63, 3 Y 3.73, 1 Er 3.73
Y5 0.9992 0.3333 0.3334  8 La 3.62-3.63, 4 Y 3.73
La1 0.2523 0.2478 0.0000  2 Er 3.61, 6 Y 3.61-3.63, 4 La 3.70-3.77
La2 0.2490 0.5850 0.3322  7 Y 3.61-3.63, 1 Er 3.61, 4 La 3.72-3.75
La3 0.7512 0.0829 0.3322  1 Er 3.60, 7 Y 3.61-3.63, 4 La 3.72-3.75
La4 0.7477 0.7522 0.0000  2 Er 3.61, 6 Y 3.61-3.63, 4 La 3.70-3.77
La5 0.7510 0.4150 0.6678  7 Y 3.61-3.63, 1 Er 3.61, 4 La 3.72-3.75
La6 0.2488 0.9171 0.6678  1 Er 3.60, 7 Y 3.61-3.63, 4 La 3.72-3.75
Er1 0.0000 0.0000 0.0000  8 La 3.60-3.61, 4 Y 3.73

PrSm2Hg2: optimized geometry, PBE-GGA.

Output
Energy above the most stable polymorph in this dataset   0.00 kJ per mole of atoms
Symmetry   P2_1/m, No. 11
Calculated total energy   -3.34 eV per atom
Spin magnetization   0.07 μB per atom
Energy relative to the elements   -182 kJ/mol of formula units

a = 3.8268 Å, b = 5.4815 Å, c = 14.0744 Å
α = 90.00°, β = 97.85°, γ = 90.00°
Last column: nearest neighbours and their distance in Å.
Element x y z (fractional)
Sm1 0.7644 0.2500 0.5274  2 Hg 3.20, 4 Sm 3.43
Sm2 0.0483 0.7500 0.0957  8 Hg 3.24-3.34
Sm3 0.9517 0.2500 0.9043  8 Hg 3.24-3.34
Sm4 0.2356 0.7500 0.4726  2 Hg 3.20, 4 Sm 3.43
Hg1 0.4536 0.7500 0.9079  6 Sm 3.24-3.34, 2 Pr 3.36-3.37
Hg2 0.3556 0.2500 0.7115  4 Sm 3.20-3.30, 4 Pr 3.34-3.35
Hg3 0.6444 0.7500 0.2885  4 Sm 3.20-3.30, 4 Pr 3.34-3.35
Hg4 0.5464 0.2500 0.0921  6 Sm 3.24-3.34, 2 Pr 3.36-3.37
Pr1 0.8533 0.7500 0.7094  6 Hg 3.34-3.37, 2 Sm 3.73
Pr2 0.1467 0.2500 0.2906  6 Hg 3.34-3.37, 2 Sm 3.73

CoPdPt: optimized geometry, PBE-GGA.

Output
Energy above the most stable polymorph in this dataset   0.00 kJ per mole of atoms
Symmetry   P2_1/m, No. 11
Calculated total energy   -6.18 eV per atom
Spin magnetization   0.91 μB per atom
Energy relative to the elements   -21 kJ/mol of formula units

a = 2.7194 Å, b = 4.0523 Å, c = 7.8348 Å
α = 90.00°, β = 80.11°, γ = 90.00°
Last column: nearest neighbours and their distance in Å.
Element x y z (fractional)
Pt1 0.9797 0.4151 0.3151  6 Co 2.65-2.66, 2 Pt 2.72, 5 Pd 2.86-2.89
Pt2 0.1952 0.9151 0.8842  6 Co 2.65-2.66, 2 Pt 2.72, 5 Pd 2.86-2.89
Co1 0.6287 0.4151 0.0189  2 Co 2.38, 1 Pd 2.54, 6 Pt 2.65-2.66
Co2 0.5462 0.9151 0.1803  2 Co 2.38, 1 Pd 2.54, 6 Pt 2.65-2.66
Pd1 0.3822 0.9151 0.5093  1 Co 2.54, 6 Pd 2.72-2.81
Pd2 0.7926 0.4151 0.6899  1 Co 2.54, 6 Pd 2.72-2.81

NdSm2Tl4: optimized geometry, PBE-GGA.

Output
Energy above the most stable polymorph in this dataset   0.00 kJ per mole of atoms
Symmetry   I4/mmm, No. 139
Calculated total energy   -3.62 eV per atom
Spin magnetization   0.12 μB per atom
Energy relative to the elements   -159 kJ/mol of formula units

a = 6.6309 Å, b = 6.6309 Å, c = 6.6309 Å
α = 110.72°, β = 108.85°, γ = 108.85°
Last column: nearest neighbours and their distance in Å.
Element x y z (fractional)
Sm1 0.5000 0.5000 0.0000  8 Tl 3.32
Sm2 0.5000 0.0000 0.5000  8 Tl 3.32
Tl1 0.0000 0.0000 0.5000  4 Sm 3.32, 2 Nd 3.32
Tl2 0.0000 0.5000 0.0000  4 Sm 3.32, 2 Nd 3.32
Tl3 0.5000 0.5000 0.5000  4 Sm 3.32, 2 Nd 3.32
Tl4 0.5000 0.0000 0.0000  2 Nd 3.32, 4 Sm 3.32
Nd1 0.0000 0.0000 0.0000  8 Tl 3.32

CuNiPt6: optimized geometry, PBE-GGA.

Output
Energy above the most stable polymorph in this dataset   1.94 kJ per mole of atoms
Symmetry   C2/m, No. 12
Calculated total energy   -5.84 eV per atom
Spin magnetization   0.14 μB per atom
Energy relative to the elements   -57 kJ/mol of formula units

a = 3.9111 Å, b = 4.7694 Å, c = 7.2634 Å
α = 77.35°, β = 74.38°, γ = 65.79°
Last column: nearest neighbours and their distance in Å.
Element x y z (fractional)
Pt1 0.5001 0.7491 0.2507  8 Pt 2.74-2.76, 2 Ni 2.75, 2 Cu 2.76
Pt2 0.2503 0.8750 0.6245  8 Pt 2.74-2.76, 1 Cu 2.75, 3 Ni 2.75-2.76
Pt3 0.4999 0.2509 0.7493  8 Pt 2.74-2.76, 2 Ni 2.75, 2 Cu 2.76
Pt4 0.7510 0.6240 0.8740  1 Ni 2.74, 3 Cu 2.75-2.76, 8 Pt 2.75-2.76
Pt5 0.2490 0.3760 0.1260  1 Ni 2.74, 3 Cu 2.75-2.76, 8 Pt 2.75-2.76
Pt6 0.7497 0.1250 0.3755  8 Pt 2.74-2.76, 1 Cu 2.75, 3 Ni 2.75-2.76
Cu1 0.0000 0.0000 0.0000  12 Pt 2.75-2.76
Ni1 0.0000 0.5000 0.5000  12 Pt 2.74-2.76

ZrFe2P2: optimized geometry, PBE-GGA.

Output
Symmetry   P4/mbm, No. 127
Calculated total energy   -7.68 eV per atom
Spin magnetization   0.00 μB per atom
Energy relative to the elements   -201 kJ/mol of formula units

a = 6.8641 Å, b = 6.8641 Å, c = 2.7192 Å
α = 90.00°, β = 90.00°, γ = 90.00°
Last column: nearest neighbours and their distance in Å.
Element x y z (fractional)
Fe1 0.6353 0.8647 0.5000  6 P 2.36-2.53, 1 Fe 2.63
Fe2 0.8647 0.3647 0.5000  6 P 2.36-2.53, 1 Fe 2.63
Fe3 0.3647 0.1353 0.5000  6 P 2.36-2.53, 1 Fe 2.63
Fe4 0.1353 0.6353 0.5000  6 P 2.36-2.53, 1 Fe 2.63
P1 0.3552 0.8552 0.0000  6 Fe 2.36-2.53, 2 Zr 2.63
P2 0.1448 0.3552 0.0000  6 Fe 2.36-2.53, 2 Zr 2.63
P3 0.6448 0.1448 0.0000  6 Fe 2.36-2.53, 2 Zr 2.63
P4 0.8552 0.6448 0.0000  6 Fe 2.36-2.53, 2 Zr 2.63
Zr1 0.5000 0.5000 0.0000  4 P 2.63, 2 Zr 2.72
Zr2 0.0000 0.0000 0.0000  4 P 2.63, 2 Zr 2.72